1.
DFT (GGA-PBE) results for an optimized crystal structure of LiCd5In.

```
LiCd5In
1.0
7.475 0.956 1.158
3.278 6.786 1.158
4.979 3.584 7.940
Li Cd In
2 10 2
Cartesian
5.805 5.901 3.143 Li
9.927 5.425 7.112 Li
13.228 9.722 9.567 Cd
6.475 5.670 5.902 Cd
10.927 7.668 5.597 Cd
7.451 3.615 3.143 Cd
10.790 8.776 8.323 Cd
4.942 2.550 1.932 Cd
8.281 7.711 7.112 Cd
4.805 3.658 4.658 Cd
9.257 5.656 4.353 Cd
2.504 1.604 0.688 Cd
0.000 0.000 0.000 In
2.489 1.792 3.970 In
```

Properties
Its symmetry is C2/c. The mass density is 6.95 g/cm3. For the calculated total energy, the calculation gives -18.794 eV for the cell shown. The energy above the most stable polymorph in this dataset comes out at 0.01 eV/f.u.

2.
DFT (GGA-PBE) results for an optimized crystal structure of LiCd3In3.

```
LiCd3In3
1.0
5.461 0.000 0.000
0.000 7.245 -4.183
0.000 0.000 8.366
Li Cd In
2 6 6
Cartesian
4.096 2.415 4.183 Li
1.365 4.830 0.000 Li
4.096 6.551 -0.396 Cd
4.096 3.627 -1.293 Cd
4.096 4.312 1.688 Cd
1.365 0.694 4.579 Cd
1.365 3.618 5.476 Cd
1.365 2.933 2.495 Cd
4.096 5.423 4.558 In
4.096 1.236 1.391 In
4.096 0.586 6.601 In
1.365 1.822 -0.375 In
1.365 6.009 2.792 In
1.365 6.659 -2.418 In
```

Properties
Its symmetry is P6_3/m. The mass density is 6.91 g/cm3. For the calculated total energy, the calculation gives -26.653 eV for the cell shown. The energy above the most stable polymorph in this dataset comes out at 0.00 eV/f.u.

3.
DFT (GGA-PBE) results for an optimized crystal structure of LiCdIn2.

```
LiCdIn2
1.0
-1.890 -2.387 -1.905
2.650 0.494 -3.249
3.459 -4.451 2.145
Cd Li In
1 1 2
Cartesian
2.948 -4.250 -0.985 Cd
1.736 -2.233 1.076 Li
3.455 -4.445 2.142 In
1.270 -2.091 -2.025 In
```

Properties
Its symmetry is Pmm2. The mass density is 6.34 g/cm3. For the calculated total energy, the calculation gives -8.780 eV for the cell shown.

4.
DFT (GGA-PBE) results for an optimized crystal structure of LiCd4In6.

```
LiCd4In6
1.0
-1.081 -3.352 -3.461
5.023 1.481 0.519
3.643 -18.094 16.385
Li Cd In
2 8 12
Cartesian
1.491 -6.248 2.063 Li
6.094 -13.717 11.380 Li
4.388 -11.373 6.122 Cd
3.759 -2.374 1.125 Cd
3.198 -8.592 7.322 Cd
3.827 -17.591 12.318 Cd
6.000 -19.381 13.373 Cd
1.585 -0.584 0.071 Cd
2.903 -13.005 8.165 Cd
4.682 -6.960 5.278 Cd
-0.541 -1.676 -1.730 In
1.281 -10.723 6.462 In
5.079 -7.590 2.242 In
2.507 -12.375 11.201 In
2.989 -14.768 13.369 In
4.597 -5.197 0.075 In
2.546 -8.733 4.140 In
5.039 -11.232 9.303 In
6.030 -16.153 13.760 In
1.555 -3.812 -0.317 In
3.641 -4.642 3.358 In
3.944 -15.323 10.085 In
```

Properties
Its symmetry is Cmcm. The mass density is 6.72 g/cm3. For the calculated total energy, the calculation gives -43.646 eV for the cell shown.

5.
DFT (GGA-PBE) results for an optimized crystal structure of Li12Cd5In2.

```
Li12Cd5In2
1.0
-4.418 0.652 -6.554
-3.649 -0.730 7.186
0.248 6.435 0.473
Li Cd In
12 5 2
Cartesian
-6.293 0.898 -0.467 Li
-2.208 4.611 4.744 Li
-4.783 4.991 0.924 Li
-3.486 2.001 4.692 Li
-5.459 2.292 1.765 Li
-5.210 4.327 3.942 Li
-2.609 2.030 -2.838 Li
-4.332 4.356 -3.588 Li
-2.359 4.065 -0.661 Li
-5.611 1.746 -3.639 Li
-3.035 1.366 0.181 Li
-1.525 5.459 1.571 Li
-2.895 3.261 2.276 Cd
-3.954 0.102 2.676 Cd
0.124 3.217 0.236 Cd
-3.864 6.255 -1.571 Cd
-4.924 3.096 -1.171 Cd
-3.501 0.516 -5.193 In
-0.917 0.135 -1.361 In
```

Properties
Its symmetry is C2/m. The mass density is 4.03 g/cm3. For the calculated total energy, the calculation gives -36.299 eV for the cell shown.

6.
DFT (GGA-PBE) results for an optimized crystal structure of Li4CdIn.

```
Li4CdIn
1.0
-2.549 -3.766 -2.835
-4.233 -2.528 2.099
-4.913 0.955 -1.917
Li Cd In
4 1 1
Cartesian
-5.660 -3.888 -2.415 Li
-6.845 -1.521 -1.955 Li
-6.504 -3.268 0.059 Li
-4.382 -2.000 -0.994 Li
-8.771 -4.004 -1.990 Cd
0.000 0.000 0.000 In
```

Properties
Its symmetry is F-43m. The mass density is 3.89 g/cm3. For the calculated total energy, the calculation gives -12.018 eV for the cell shown. The energy above the most stable polymorph in this dataset comes out at 0.73 eV/f.u.

7.
DFT (GGA-PBE) results for an optimized crystal structure of Li2CdIn2.

```
Li2CdIn2
1.0
-2.889 2.586 0.905
-1.531 -0.433 -3.650
-6.278 -4.290 0.971
Cd Li In
1 2 2
Cartesian
0.000 0.000 0.000 Cd
-5.689 -0.314 0.252 Li
-5.010 -1.823 -2.025 Li
-3.046 -0.026 -0.891 In
-7.653 -2.112 -0.882 In
```

Properties
Its symmetry is I4/mmm. The mass density is 5.23 g/cm3. For the calculated total energy, the calculation gives -10.568 eV for the cell shown. The energy above the most stable polymorph in this dataset comes out at 0.66 eV/f.u.

8.
DFT (GGA-PBE) results for an optimized crystal structure of Li3CdIn.

```
Li3CdIn
1.0
-2.566 -0.796 -4.042
4.298 -3.432 -2.052
-1.662 -5.058 4.977
Li Cd In
6 2 2
Cartesian
2.309 -8.064 1.590 Li
-2.238 -1.222 -2.708 Li
0.192 -6.374 2.601 Li
-0.122 -2.912 -3.719 Li
-0.169 -5.892 -3.096 Li
0.239 -3.394 1.978 Li
1.797 -4.227 -1.764 Cd
-1.726 -5.059 0.646 Cd
0.430 -6.761 -0.388 In
-0.360 -2.525 -0.730 In
```

Properties
Its symmetry is P2_1/m. The mass density is 4.21 g/cm3. For the calculated total energy, the calculation gives -20.684 eV for the cell shown. The energy above the most stable polymorph in this dataset comes out at 0.37 eV/f.u.

no.,magnetization (μB/f.u.),formation energy (eV per atom)
1,0.0,-0.024
2,0.0,-0.065
3,0.0,-0.119
4,0.0,0.017
5,0.0,-0.173
6,0.0,-0.118
7,0.0,-0.070
8,0.0,-0.189